Below is crystalline Mg2MnSb at its relaxed geometry, with properties calculated at the PBE level.

Properties
The formation energy from raw total energies comes out at 0.074 eV/atom. Its total energy is -16.19 eV/cell.

Cell: 3.2373 4.1523 6.0632 Å, 90.00 90.00 90.00°
With the nearest neighbours (Å) after each atom.
Element x y z (fractional)
Mg  0.0000  0.0000  0.2286  1 Mg 2.77, 4 Mn 2.98, 4 Sb 3.10
Mg  0.0000  0.0000  0.7714  1 Mg 2.77, 4 Mn 2.98, 4 Sb 3.10
Mn  0.5000  0.5000  0.0000  8 Mg 2.98, 2 Sb 3.03, 2 Mn 3.24
Sb  0.5000  0.5000  0.5000  2 Mn 3.03, 8 Mg 3.10, 2 Sb 3.24

Below is crystalline Na2ZrCuS4 at its relaxed geometry, with properties calculated at the PBE level.

Properties
The formation energy from raw total energies comes out at -1.022 eV/atom. Its total energy is -79.94 eV/cell.

Cell: 7.8178 7.8178 7.8178 Å, 123.34 122.54 84.97°
With the nearest neighbours (Å) after each atom.
Element x y z (fractional)
Na  0.0000  0.0000  0.0000  4 S 2.73
Na  0.5000  0.0000  0.0000  6 S 2.73-2.92
Na  0.5000  0.0000  0.5000  4 S 2.73
Na  0.5000  0.5000  0.5000  6 S 2.73-2.92
Zr  0.0000  0.5000  0.5000  6 S 2.56-2.66
Zr  0.5000  0.5000  0.0000  6 S 2.56-2.66
Cu  0.0000  0.0000  0.5000  4 S 2.41
Cu  0.0000  0.5000  0.0000  4 S 2.41
S  0.1807  0.7287  0.4519  2 Cu 2.41, 1 Zr 2.66
S  0.2232  0.2713  0.9519  2 Cu 2.41, 1 Zr 2.66
S  0.2638  0.2804  0.5166  2 Zr 2.56, 3 Na 2.73
S  0.2638  0.7471  0.9834  2 Zr 2.56, 3 Na 2.73
S  0.7362  0.2529  0.0166  2 Zr 2.56, 3 Na 2.73
S  0.7362  0.7196  0.4834  2 Zr 2.56, 3 Na 2.73
S  0.7768  0.7287  0.0481  2 Cu 2.41, 1 Zr 2.66
S  0.8193  0.2713  0.5481  2 Cu 2.41, 1 Zr 2.66